DFT (GGA-PBE) results for a relaxed structure of U2As2PdN2. Values from VASP.

Quantum ESPRESSO input file:
```
&SYSTEM
  ibrav = 0, nat = 7, ntyp = 4
/
ATOMIC_SPECIES
U 238.03 U.upf
As 74.92 As.upf
Pd 106.42 Pd.upf
N 14.01 N.upf
ATOMIC_POSITIONS crystal
U 0.3333 0.6667 0.1282
U 0.6667 0.3333 0.8718
As 0.0000 0.0000 0.2850
As 0.0000 0.0000 0.7150
Pd 0.0000 0.0000 0.5000
N 0.3333 0.6667 0.9275
N 0.6667 0.3333 0.0725
CELL_PARAMETERS angstrom
3.8266 0.0000 0.0000
-1.9133 3.3139 0.0000
0.0000 0.0000 11.1516
```

SG: No. 164
Uncorrected formation energy (eV/atom): -0.657